Here is AgI2F after structural relaxation from Alexandria. Energies are from PBE-GGA.

Values from the calculation:
Its space group is No. 225. The uncorrected formation energy is -0.391 eV/f.u. As for the density of states at the Fermi level: 5.18 states/eV/cell. The calculation puts the energy relative to the lowest polymorph listed for this composition at 33.6 meV per atom.

Cell: 5.048 5.048 5.048 Å, 60.00 60.00 60.00°
Element x y z (fractional)
Ag: 0.500 0.500 0.500
I: 0.750 0.750 0.750
I: 0.250 0.250 0.250
F: 0.000 0.000 0.000

Here is PuScHgAu after structural relaxation from Alexandria. Energies are from PBE-GGA.

Values from the calculation:
Its space group is No. 216. As for the density of states at the Fermi level: 10.36 states/eV/cell. The value obtained for the formation energy is -33.0 kJ/mol of atoms. The calculation puts the energy relative to the lowest polymorph listed for this composition at 102.9 meV per atom.

Cell: 5.092 5.092 5.092 Å, 60.00 60.00 60.00°
Each line ends with the local moment (μB).
Element x y z (fractional)
Hg: 0.250 0.250 0.250  0.04
Pu: 0.500 0.500 0.500  5.36
Sc: 0.000 0.000 0.000  0.20
Au: 0.750 0.750 0.750  0.04

Here is RbSr2Pb6 after structural relaxation from Alexandria. Energies are from PBE-GGA.

Values from the calculation:
Its space group is No. 65. As for the density of states at the Fermi level: 5.57 states/eV/cell. The value obtained for the formation energy is -25.8 kJ/mol of atoms.

Cell: 3.798 9.677 9.908 Å, 119.23 89.98 90.00°
Element x y z (fractional)
Pb: 0.499 0.001 0.341
Sr: 0.000 0.334 0.669
Pb: 0.499 0.340 0.341
Pb: 0.501 0.999 0.659
Pb: 0.500 0.339 0.000
Pb: 0.501 0.660 0.659
Rb: 0.000 0.000 0.000
Pb: 0.500 0.661 0.000
Sr: 0.000 0.666 0.331

Here is KLaV2 after structural relaxation from Alexandria. Energies are from PBE-GGA.

Values from the calculation:
Its space group is No. 225. As for the density of states at the Fermi level: 4.41 states/eV/cell. The value obtained for the formation energy is 121.3 kJ/mol of atoms. The calculation puts the energy relative to the lowest polymorph listed for this composition at 0.0 meV per atom.

Cell: 5.533 5.533 5.533 Å, 60.00 60.00 60.00°
Each line ends with the local moment (μB).
Element x y z (fractional)
V: 0.750 0.750 0.750  2.98
La: 0.500 0.500 0.500  0.49
K: 0.000 0.000 0.000  0.06
V: 0.250 0.250 0.250  2.98

Here is SbPIr2 after structural relaxation from Alexandria. Energies are from PBE-GGA.

Values from the calculation:
Its space group is No. 123. The uncorrected formation energy is 1.307 eV/f.u. As for the density of states at the Fermi level: 2.83 states/eV/cell. The calculation puts the energy relative to the lowest polymorph listed for this composition at 600.4 meV per atom.

Cell: 4.245 4.245 3.591 Å, 90.00 90.00 90.00°
Element x y z (fractional)
Ir: 0.500 0.000 0.000
Ir: 0.000 0.500 0.000
Sb: 0.000 0.000 0.500
P: 0.500 0.500 0.500

Here is BaCe2Au6 after structural relaxation from Alexandria. Energies are from PBE-GGA.

Values from the calculation:
Its space group is No. 71. As for the density of states at the Fermi level: 17.23 states/eV/cell. The value obtained for the formation energy is -59.0 kJ/mol of atoms.

Cell: 3.962 7.973 8.630 Å, 117.51 103.26 90.00°
Each line ends with the local moment (μB).
Element x y z (fractional)
Au: 0.320 0.020 0.641  0.01
Ba: 0.000 0.000 0.000  0.02
Au: 0.500 0.674 0.000  0.01
Au: 0.680 0.378 0.359  0.01
Ce: 0.142 0.642 0.283  0.86
Ce: 0.858 0.358 0.717  0.86
Au: 0.500 0.326 0.000  0.01
Au: 0.320 0.622 0.641  0.01
Au: 0.680 0.980 0.359  0.01

Repeat the fifth record exactly.
Here is SbPIr2 after structural relaxation from Alexandria. Energies are from PBE-GGA.

Values from the calculation:
Its space group is No. 123. The uncorrected formation energy is 1.307 eV/f.u. As for the density of states at the Fermi level: 2.83 states/eV/cell. The calculation puts the energy relative to the lowest polymorph listed for this composition at 600.4 meV per atom.

Cell: 4.245 4.245 3.591 Å, 90.00 90.00 90.00°
Element x y z (fractional)
Ir: 0.500 0.000 0.000
Ir: 0.000 0.500 0.000
Sb: 0.000 0.000 0.500
P: 0.500 0.500 0.500

Repeat the sixth record exactly.
Here is BaCe2Au6 after structural relaxation from Alexandria. Energies are from PBE-GGA.

Values from the calculation:
Its space group is No. 71. As for the density of states at the Fermi level: 17.23 states/eV/cell. The value obtained for the formation energy is -59.0 kJ/mol of atoms.

Cell: 3.962 7.973 8.630 Å, 117.51 103.26 90.00°
Each line ends with the local moment (μB).
Element x y z (fractional)
Au: 0.320 0.020 0.641  0.01
Ba: 0.000 0.000 0.000  0.02
Au: 0.500 0.674 0.000  0.01
Au: 0.680 0.378 0.359  0.01
Ce: 0.142 0.642 0.283  0.86
Ce: 0.858 0.358 0.717  0.86
Au: 0.500 0.326 0.000  0.01
Au: 0.320 0.622 0.641  0.01
Au: 0.680 0.980 0.359  0.01